No. 1
A plane-wave DFT calculation with PBE was carried out for a relaxed CoHRuPt2 crystal.

Final energy = -30.85 eV per cell
Calculated density = 15.253 g/cm3
Space group = P4/mmm

Unit cell a=3.8934 b=3.8934 c=3.9583 alpha=90.00 beta=90.00 gamma=90.00
Sites, in units of the cell vectors:
Co1 0.0000 0.0000 0.0000
H1 0.0000 0.0000 0.5000
Ru1 0.5000 0.5000 0.0000
Pt1 0.0000 0.5000 0.5000
Pt2 0.5000 0.0000 0.5000

---

No. 2
A plane-wave DFT calculation with PBE was carried out for a relaxed Co2SbHPt crystal.

Final energy = -26.76 eV per cell
Calculated density = 11.672 g/cm3
Space group = P4/mmm

Unit cell a=3.7900 b=3.7900 c=4.3154 alpha=90.00 beta=90.00 gamma=90.00
Sites, in units of the cell vectors:
Co1 0.0000 0.5000 0.0000
Co2 0.5000 0.0000 0.0000
Sb1 0.0000 0.0000 0.5000
H1 0.0000 0.0000 0.0000
Pt1 0.5000 0.5000 0.5000

---

No. 3
A plane-wave DFT calculation with PBE was carried out for a relaxed Co2SbHPt crystal.

Final energy = -27.64 eV per cell
Calculated density = 12.188 g/cm3
Space group = P4/mmm

Unit cell a=3.9492 b=3.9492 c=3.8064 alpha=90.00 beta=90.00 gamma=90.00
Sites, in units of the cell vectors:
Co1 0.0000 0.5000 0.0000
Co2 0.5000 0.0000 0.0000
Sb1 0.0000 0.0000 0.5000
H1 0.5000 0.5000 0.0000
Pt1 0.5000 0.5000 0.5000

---

No. 4
A plane-wave DFT calculation with PBE was carried out for a relaxed Sc2CoHPt crystal.

Final energy = -32.95 eV per cell
Calculated density = 8.329 g/cm3
Space group = P4/mmm

Unit cell a=4.4840 b=4.4840 c=3.4201 alpha=90.00 beta=90.00 gamma=90.00
Sites, in units of the cell vectors:
Sc1 0.0000 0.5000 0.0000
Sc2 0.5000 0.0000 0.0000
Co1 0.0000 0.0000 0.5000
H1 0.0000 0.0000 0.0000
Pt1 0.5000 0.5000 0.5000

---

No. 5
A plane-wave DFT calculation with PBE was carried out for a relaxed CoHPtSe2 crystal.

Final energy = -21.56 eV per cell
Calculated density = 10.291 g/cm3
Space group = P4/mmm

Unit cell a=4.5662 b=4.5662 c=3.1959 alpha=90.00 beta=90.00 gamma=90.00
Sites, in units of the cell vectors:
Co1 0.0000 0.0000 0.0000
H1 0.0000 0.0000 0.5000
Pt1 0.5000 0.5000 0.0000
Se1 0.0000 0.5000 0.5000
Se2 0.5000 0.0000 0.5000

---

No. 6
A plane-wave DFT calculation with PBE was carried out for a relaxed CoSiH2Pt crystal.

Final energy = -24.15 eV per cell
Calculated density = 8.298 g/cm3
Space group = P4/mmm

Unit cell a=3.2724 b=3.2724 c=5.3096 alpha=90.00 beta=90.00 gamma=90.00
Sites, in units of the cell vectors:
Co1 0.0000 0.0000 0.0000
Si1 0.5000 0.5000 0.0000
H1 0.0000 0.5000 0.5000
H2 0.5000 0.0000 0.5000
Pt1 0.0000 0.0000 0.5000